# Tm5SiSn2 PBE-GGA optimized geometry
data_Tm5SiSn2
_chemical_formula_sum 'Tm20 Si4 Sn8'
_symmetry_space_group_name_H-M 'C m c m'
_symmetry_Int_Tables_number 63
_symmetry_space_group_name_Hall '-C 2c 2'
_cell_length_a 5.777
_cell_length_b 9.298
_cell_length_c 16.144
_cell_angle_alpha 90.00
_cell_angle_beta 90.00
_cell_angle_gamma 90.00
loop_
_atom_site_label
_atom_site_fract_x
_atom_site_fract_y
_atom_site_fract_z
Tm1 0.000 0.074 0.096
Tm2 0.000 0.244 0.750
Tm3 0.000 0.409 0.116
Si1 0.000 0.202 0.250
Sn1 0.000 0.266 0.564
# Raw total energy, eV/f.u.: -38.359
# Magnetic moment, μB per formula unit: 0.00

=====

# ThVSb2 PBE-GGA optimized geometry
data_ThVSb2
_chemical_formula_sum 'Th3 V3 Sb6'
_symmetry_space_group_name_H-M 'R -3 m'
_symmetry_Int_Tables_number 166
_symmetry_space_group_name_Hall '-R 3 2"'
_cell_length_a 3.3520
_cell_length_b 3.3520
_cell_length_c 31.4145
_cell_angle_alpha 90.00
_cell_angle_beta 90.00
_cell_angle_gamma 120.00
loop_
_atom_site_label
_atom_site_fract_x
_atom_site_fract_y
_atom_site_fract_z
Th1 0.0000 0.0000 0.0000
V1 0.0000 0.0000 0.5000
Sb1 0.0000 0.0000 0.1049
# Raw total energy, eV/f.u.: -24.525
# Magnetic moment, μB per formula unit: 0.00

=====

# ZrBe2Os PBE-GGA optimized geometry
data_ZrBe2Os
_chemical_formula_sum 'Zr1 Be2 Os1'
_symmetry_space_group_name_H-M 'P 4/m m m'
_symmetry_Int_Tables_number 123
_symmetry_space_group_name_Hall '-P 4 2'
_cell_length_a 3.770
_cell_length_b 3.770
_cell_length_c 3.906
_cell_angle_alpha 90.00
_cell_angle_beta 90.00
_cell_angle_gamma 90.00
loop_
_atom_site_label
_atom_site_fract_x
_atom_site_fract_y
_atom_site_fract_z
Zr1 0.000 0.000 0.000
Be1 0.000 0.500 0.500
Os1 0.500 0.500 0.000
# Formation enthalpy at 0 K, eV per atom: 0.02
# Energy above the lowest structure with this stoichiometry, kJ per mole of atoms: 35.6
# Magnetic moment, μB per formula unit: 0.00

=====

# Lu2UCo PBE-GGA optimized geometry
data_Lu2UCo
_chemical_formula_sum 'Lu8 U4 Co4'
_symmetry_space_group_name_H-M 'F m -3 m'
_symmetry_Int_Tables_number 225
_symmetry_space_group_name_Hall '-F 4 2 3'
_cell_length_a 6.987
_cell_length_b 6.987
_cell_length_c 6.987
_cell_angle_alpha 90.00
_cell_angle_beta 90.00
_cell_angle_gamma 90.00
loop_
_atom_site_label
_atom_site_fract_x
_atom_site_fract_y
_atom_site_fract_z
Lu1 0.250 0.250 0.250
U1 0.000 0.000 0.000
Co1 0.000 0.000 0.500
# Formation enthalpy at 0 K, eV per atom: 0.60
# Magnetic moment, μB per formula unit: 2.39

=====

# NaPdCl PBE-GGA optimized geometry
data_NaPdCl
_chemical_formula_sum 'Na4 Pd4 Cl4'
_symmetry_space_group_name_H-M 'C 1 m 1'
_symmetry_Int_Tables_number 8
_cell_length_a 10.172
_cell_length_b 3.667
_cell_length_c 7.379
_cell_angle_alpha 90.00
_cell_angle_beta 92.92
_cell_angle_gamma 90.00
loop_
_symmetry_equiv_pos_as_xyz
'x,y,z'
'x,-y,z'
'x+1/2,y+1/2,z'
'x+1/2,-y+1/2,z'
loop_
_atom_site_label
_atom_site_fract_x
_atom_site_fract_y
_atom_site_fract_z
Na1 0.000 0.000 0.000
Na2 0.125 0.500 0.427
Pd1 0.219 0.500 0.939
Pd2 0.300 0.000 0.169
Cl1 0.171 0.000 0.718
Cl2 0.402 0.500 0.364
# Energy above the lowest structure with this stoichiometry, kJ per mole of atoms: 6.9
# Magnetic moment, μB per formula unit: 0.00

=====

# CdHgAu4 PBE-GGA optimized geometry
data_CdHgAu4
_chemical_formula_sum 'Cd1 Hg1 Au4'
_symmetry_space_group_name_H-M 'P -1'
_symmetry_Int_Tables_number 2
_cell_length_a 5.062
_cell_length_b 5.174
_cell_length_c 5.242
_cell_angle_alpha 61.16
_cell_angle_beta 72.94
_cell_angle_gamma 81.20
loop_
_symmetry_equiv_pos_as_xyz
'x,y,z'
'-x,-y,-z'
loop_
_atom_site_label
_atom_site_fract_x
_atom_site_fract_y
_atom_site_fract_z
Cd1 0.000 0.000 0.000
Hg1 0.500 0.000 0.500
Au1 0.001 0.660 0.671
Au2 0.500 0.331 0.835
# Formation enthalpy at 0 K, eV per atom: -0.03
# Energy above the lowest structure with this stoichiometry, kJ per mole of atoms: 0.3
# Magnetic moment, μB per formula unit: 0.00